Entry 1:
DFT (PBE) results for an optimized crystal structure of TlHg2GeN.

Properties
The space group is P4/mmm. For the uncorrected formation energy, the calculation gives 4.33 eV/f.u. As for the total DFT energy (no corrections): -2.317 eV/atom.

Geometry as POSCAR:
```
TlHg2GeN
1.0
4.508 0.000 0.000
0.000 4.508 0.000
0.000 0.000 5.739
Tl Hg Ge N
1 2 1 1
direct
0.000 0.000 0.000
0.000 0.500 0.500
0.500 0.000 0.500
0.500 0.500 0.000
0.000 0.000 0.500
```

***

Entry 2:
DFT (PBE) results for an optimized crystal structure of V2HgGeN.

Properties
The space group is P4/mmm. For the uncorrected formation energy, the calculation gives 6.54 eV/f.u. As for the total DFT energy (no corrections): -4.989 eV/atom.

Geometry as POSCAR:
```
V2HgGeN
1.0
4.769 0.000 0.000
0.000 4.769 0.000
0.000 0.000 3.769
V Hg Ge N
2 1 1 1
direct
0.000 0.500 0.000
0.500 0.000 0.000
0.000 0.000 0.500
0.500 0.500 0.000
0.500 0.500 0.500
```

***

Entry 3:
DFT (PBE) results for an optimized crystal structure of NaHg2Ge.

Properties
For the energy relative to the elements, the calculation gives 0.10 eV per atom. The space group is I-42d. As for the total DFT energy (no corrections): -1.532 eV/atom.

Geometry as POSCAR:
```
NaHg2Ge
1.0
-2.341 2.341 9.640
2.341 -2.341 9.640
2.341 2.341 -9.640
Na Hg Ge
2 4 2
direct
0.000 0.000 0.000
0.750 0.250 0.500
0.159 0.625 0.034
0.375 0.409 0.534
0.591 0.125 0.966
0.875 0.841 0.466
0.250 0.750 0.500
0.500 0.500 0.000
```

***

Entry 4:
DFT (PBE) results for an optimized crystal structure of Na3HgGe.

Properties
For the energy relative to the elements, the calculation gives 0.09 eV per atom. The space group is Pm-3m. As for the total DFT energy (no corrections): -1.686 eV/atom.

Geometry as POSCAR:
```
Na3HgGe
1.0
5.674 0.000 0.000
0.000 5.674 0.000
0.000 0.000 5.674
Na Hg Ge
3 1 1
direct
0.000 0.000 0.500
0.000 0.500 0.000
0.500 0.000 0.000
0.500 0.500 0.500
0.000 0.000 0.000
```

***

Entry 5:
DFT (PBE) results for an optimized crystal structure of Na2Hg2Ge.

Properties
For the energy relative to the elements, the calculation gives 0.15 eV per atom. The space group is I4/mmm. As for the total DFT energy (no corrections): -1.424 eV/atom.

Geometry as POSCAR:
```
Na2Hg2Ge
1.0
-2.095 2.095 7.296
2.095 -2.095 7.296
2.095 2.095 -7.296
Na Hg Ge
2 2 1
direct
0.250 0.750 0.500
0.750 0.250 0.500
0.099 0.099 0.000
0.901 0.901 0.000
0.500 0.500 0.000
```

***

Entry 6:
DFT (PBE) results for an optimized crystal structure of Na12Hg3Ge.

Properties
For the energy relative to the elements, the calculation gives -0.10 eV per atom. The space group is P4/mmm. As for the total DFT energy (no corrections): -1.432 eV/atom.

Geometry as POSCAR:
```
Na12Hg3Ge
1.0
4.829 0.000 0.000
0.000 4.829 0.000
0.000 0.000 19.296
Na Hg Ge
12 3 1
direct
0.000 0.000 0.000
0.000 0.000 0.246
0.000 0.000 0.500
0.000 0.000 0.754
0.000 0.500 0.115
0.000 0.500 0.373
0.000 0.500 0.627
0.000 0.500 0.885
0.500 0.000 0.115
0.500 0.000 0.373
0.500 0.000 0.627
0.500 0.000 0.885
0.500 0.500 0.244
0.500 0.500 0.500
0.500 0.500 0.756
0.500 0.500 0.000
```

***

Entry 7:
DFT (PBE) results for an optimized crystal structure of Na2Hg2Ge.

Properties
For the energy relative to the elements, the calculation gives 0.05 eV per atom. The space group is P4/mbm. As for the total DFT energy (no corrections): -1.523 eV/atom.

Geometry as POSCAR:
```
Na2Hg2Ge
1.0
8.248 0.000 0.000
0.000 8.248 0.000
0.000 0.000 3.698
Na Hg Ge
4 4 2
direct
0.152 0.348 0.000
0.348 0.848 0.000
0.652 0.152 0.000
0.848 0.652 0.000
0.147 0.647 0.500
0.353 0.147 0.500
0.647 0.853 0.500
0.853 0.353 0.500
0.000 0.000 0.000
0.500 0.500 0.000
```

***

Entry 8:
DFT (PBE) results for an optimized crystal structure of Na6Hg3Ge.

Properties
For the energy relative to the elements, the calculation gives -0.14 eV per atom. The space group is P2_1/m. As for the total DFT energy (no corrections): -1.483 eV/atom.

Geometry as POSCAR:
```
Na6Hg3Ge
1.0
8.514 0.000 0.000
0.000 5.421 0.000
-4.153 0.000 11.709
Na Hg Ge
12 6 2
direct
0.036 0.250 0.105
0.172 0.250 0.657
0.250 0.750 0.503
0.370 0.250 0.394
0.376 0.750 0.070
0.431 0.750 0.798
0.569 0.250 0.202
0.624 0.250 0.930
0.630 0.750 0.606
0.750 0.250 0.497
0.828 0.750 0.343
0.964 0.750 0.895
0.001 0.750 0.645
0.136 0.750 0.238
0.236 0.250 0.927
0.764 0.750 0.073
0.864 0.250 0.762
0.999 0.250 0.355
0.477 0.750 0.327
0.523 0.250 0.673
```

***

Entry 9:
DFT (PBE) results for an optimized crystal structure of Na3HgGe.

Properties
For the energy relative to the elements, the calculation gives -0.07 eV per atom. The space group is C2/m. As for the total DFT energy (no corrections): -1.842 eV/atom.

Geometry as POSCAR:
```
Na3HgGe
1.0
4.387 -4.557 0.000
4.387 4.557 0.000
-3.857 0.000 7.041
Na Hg Ge
6 2 2
direct
0.005 0.561 0.292
0.042 0.042 0.223
0.439 0.995 0.708
0.561 0.005 0.292
0.958 0.958 0.777
0.995 0.439 0.708
0.352 0.352 0.059
0.648 0.648 0.941
0.396 0.396 0.567
0.604 0.604 0.433
```

***

Entry 10:
DFT (PBE) results for an optimized crystal structure of NaHgGe2.

Properties
For the energy relative to the elements, the calculation gives 0.15 eV per atom. The space group is I-42d. As for the total DFT energy (no corrections): -2.561 eV/atom.

Geometry as POSCAR:
```
NaHgGe2
1.0
-2.127 2.127 10.426
2.127 -2.127 10.426
2.127 2.127 -10.426
Na Hg Ge
2 2 4
direct
0.000 0.000 0.000
0.750 0.250 0.500
0.250 0.750 0.500
0.500 0.500 0.000
0.180 0.625 0.055
0.375 0.430 0.555
0.570 0.125 0.945
0.875 0.820 0.445
```

***

Entry 11:
DFT (PBE) results for an optimized crystal structure of NaHgGe.

Properties
For the energy relative to the elements, the calculation gives -0.07 eV per atom. The space group is P2_1/m. As for the total DFT energy (no corrections): -2.145 eV/atom.

Geometry as POSCAR:
```
NaHgGe
1.0
5.789 0.000 0.000
0.000 3.923 0.000
-1.991 0.000 7.273
Na Hg Ge
2 2 2
direct
0.177 0.250 0.208
0.823 0.750 0.792
0.238 0.750 0.565
0.762 0.250 0.435
0.369 0.750 0.959
0.631 0.250 0.041
```

***

Entry 12:
DFT (PBE) results for an optimized crystal structure of Na8HgGe2.

Properties
For the energy relative to the elements, the calculation gives -0.06 eV per atom. The space group is Immm. As for the total DFT energy (no corrections): -1.884 eV/atom.

Geometry as POSCAR:
```
Na8HgGe2
1.0
-2.562 3.917 7.492
2.562 -3.917 7.492
2.562 3.917 -7.492
Na Hg Ge
8 1 2
direct
0.119 0.338 0.780
0.164 0.164 0.000
0.307 0.000 0.307
0.442 0.662 0.780
0.558 0.338 0.220
0.693 0.000 0.693
0.836 0.836 0.000
0.881 0.662 0.220
0.000 0.500 0.500
0.314 0.814 0.500
0.686 0.186 0.500
```

***

Volume values (in Å³/f.u.) by entry order: 116.65; 85.72; 105.65; 182.68; 128.14; 449.94; 125.78; 270.24; 140.77; 94.30; 82.58; 300.69.
Magnetization values (in μB/cell) by entry order: 0.0; 0.0; 0.0; 1.0; 0.0; 0.0; 0.0; 0.0; 0.0; 0.0; 0.0; 0.0.